No. 1
The following is a DFT calculation (GGA-PBE) of PrInCuAg after structural relaxation.

ΔH_f (0 K) (kJ per mole of atoms): -28
Uncorrected energy (eV per atom): -3.910

abc: 4.966 4.966 4.966
angles: 60.00 60.00 60.00
Sites, in units of the cell vectors:
1 In 0.000 0.000 0.000
2 Ag 0.250 0.250 0.250
3 Cu 0.750 0.750 0.750
4 Pr 0.500 0.500 0.500



No. 2
The following is a DFT calculation (GGA-PBE) of Be2WBr after structural relaxation.

Formation energy (no corrections) (kcal/mol of atoms): 30.02
Polymorph energy (0 for the lowest one) (meV/atom): 915
Uncorrected energy (eV per atom): -4.218

abc: 4.277 4.277 4.277
angles: 60.00 60.00 60.00
Sites, in units of the cell vectors:
1 W 0.250 0.250 0.250
2 Be 0.750 0.750 0.750
3 Be 0.000 0.000 0.000
4 Br 0.500 0.500 0.500



No. 3
The following is a DFT calculation (GGA-PBE) of Fe4SbTe after structural relaxation.

Formation energy (no corrections) (kcal/mol of atoms): 7.83
Uncorrected energy (eV per atom): -6.513

abc: 5.121 5.121 5.121
angles: 60.00 60.00 60.00
Last column: magnetic moment on the atom in μB.
Sites, in units of the cell vectors:
1 Fe 0.376 0.376 0.376  2.59
2 Fe 0.376 0.376 0.873  2.59
3 Fe 0.376 0.873 0.376  2.59
4 Fe 0.873 0.376 0.376  2.59
5 Te 0.000 0.000 0.000  0.00
6 Sb 0.750 0.750 0.750  -0.05



No. 4
The following is a DFT calculation (GGA-PBE) of Na7Cd2Hg2 after structural relaxation.

Polymorph energy (0 for the lowest one) (meV/atom): 15
ΔH_f (0 K) (kJ per mole of atoms): -8
Uncorrected energy (eV per atom): -1.146

abc: 3.312 10.792 10.792
angles: 58.38 81.17 81.17
Sites, in units of the cell vectors:
1 Na 0.500 0.051 0.949
2 Na 0.152 0.128 0.567
3 Na 0.401 0.686 0.512
4 Na 0.848 0.433 0.872
5 Na 0.168 0.711 0.953
6 Na 0.599 0.488 0.314
7 Na 0.832 0.047 0.289
8 Hg 0.245 0.343 0.167
9 Hg 0.755 0.833 0.657
10 Cd 0.500 0.343 0.657
11 Cd 0.000 0.791 0.209



No. 5
The following is a DFT calculation (GGA-PBE) of NaIrW3 after structural relaxation.

Polymorph energy (0 for the lowest one) (meV/atom): 0
ΔH_f (0 K) (kJ per mole of atoms): 185
Uncorrected energy (eV per atom): -7.887

abc: 4.831 4.831 4.831
angles: 90.00 90.00 90.00
Last column: magnetic moment on the atom in μB.
Sites, in units of the cell vectors:
1 W 0.500 0.000 0.000  0.07
2 W 0.000 0.500 0.000  0.15
3 W 0.000 0.000 0.500  0.25
4 Ir 0.000 0.000 0.000  0.02
5 Na 0.500 0.500 0.500  0.00



No. 6
The following is a DFT calculation (GGA-PBE) of V5Ga5Ni after structural relaxation.

ΔH_f (0 K) (kJ per mole of atoms): -2
Uncorrected energy (eV per atom): -6.064

abc: 4.391 5.154 8.340
angles: 94.56 90.00 115.21
Sites, in units of the cell vectors:
1 V 0.445 0.889 0.330
2 V 0.000 0.000 0.500
3 V 0.555 0.111 0.670
4 V 0.707 0.415 0.440
5 V 0.293 0.585 0.560
6 Ga 0.154 0.307 0.253
7 Ga 0.169 0.339 0.816
8 Ga 0.500 0.000 0.000
9 Ga 0.831 0.661 0.184
10 Ga 0.846 0.693 0.747
11 Ni 0.000 0.000 0.000



No. 7
The following is a DFT calculation (GGA-PBE) of Dy7Tl5Cd after structural relaxation.

ΔH_f (0 K) (kJ per mole of atoms): -13
Uncorrected energy (eV per atom): -3.592

abc: 6.642 8.254 8.254
angles: 80.87 66.28 66.28
Sites, in units of the cell vectors:
1 Tl 0.519 0.001 0.472
2 Tl 0.008 0.472 0.001
3 Tl 0.008 0.001 0.472
4 Tl 0.519 0.472 0.001
5 Tl 0.767 0.733 0.733
6 Dy 0.006 0.674 0.314
7 Dy 0.622 0.378 0.378
8 Dy 0.006 0.314 0.674
9 Dy 0.265 0.735 0.735
10 Dy 0.524 0.801 0.151
11 Dy 0.274 0.226 0.226
12 Dy 0.524 0.151 0.801
13 Cd 0.958 0.042 0.042



No. 8
The following is a DFT calculation (GGA-PBE) of Pm2Pd3Pb after structural relaxation.

Polymorph energy (0 for the lowest one) (meV/atom): 27
ΔH_f (0 K) (kJ per mole of atoms): -60
Uncorrected energy (eV per atom): -5.419

abc: 5.774 5.774 9.208
angles: 103.67 103.67 104.25
Sites, in units of the cell vectors:
1 Pm 0.750 0.250 0.500
2 Pm 0.244 0.244 0.000
3 Pm 0.250 0.750 0.500
4 Pm 0.756 0.756 0.000
5 Pd 0.676 0.164 0.840
6 Pd 0.174 0.174 0.348
7 Pd 0.164 0.676 0.840
8 Pd 0.836 0.324 0.160
9 Pd 0.324 0.836 0.160
10 Pd 0.826 0.826 0.652
11 Pb 0.337 0.337 0.675
12 Pb 0.663 0.663 0.325



No. 9
The following is a DFT calculation (GGA-PBE) of Zn6AgAu2 after structural relaxation.

Polymorph energy (0 for the lowest one) (meV/atom): 0
ΔH_f (0 K) (kJ per mole of atoms): -10
Uncorrected energy (eV per atom): -1.999

abc: 4.779 4.404 8.180
angles: 96.73 90.00 122.86
Sites, in units of the cell vectors:
1 Au 0.352 0.705 0.724
2 Au 0.648 0.295 0.276
3 Ag 0.000 0.000 0.500
4 Zn 0.674 0.348 0.947
5 Zn 0.677 0.354 0.616
6 Zn 0.990 0.981 0.161
7 Zn 0.326 0.652 0.053
8 Zn 0.010 0.019 0.839
9 Zn 0.323 0.646 0.384



No. 10
The following is a DFT calculation (GGA-PBE) of ScFeAu2 after structural relaxation.

ΔH_f (0 K) (kJ per mole of atoms): -28
Uncorrected energy (eV per atom): -5.627

abc: 5.086 5.086 5.086
angles: 133.56 133.55 67.78
Last column: magnetic moment on the atom in μB.
Sites, in units of the cell vectors:
1 Fe 0.500 0.500 0.000  2.54
2 Au 0.250 0.750 0.500  -0.02
3 Au 0.000 0.000 0.000  -0.01
4 Sc 0.750 0.250 0.500  -0.19



No. 11
The following is a DFT calculation (GGA-PBE) of Ca2ZnHg after structural relaxation.

Polymorph energy (0 for the lowest one) (meV/atom): 90
ΔH_f (0 K) (kJ per mole of atoms): -29
Uncorrected energy (eV per atom): -1.699

abc: 6.026 6.026 5.292
angles: 71.05 71.05 36.07
Sites, in units of the cell vectors:
1 Ca 0.977 0.977 0.051
2 Ca 0.770 0.770 0.704
3 Hg 0.527 0.527 0.507
4 Zn 0.226 0.226 0.239



No. 12
The following is a DFT calculation (GGA-PBE) of Pr2ZrHg after structural relaxation.

Polymorph energy (0 for the lowest one) (meV/atom): 0
ΔH_f (0 K) (kJ per mole of atoms): -11
Uncorrected energy (eV per atom): -4.719

abc: 3.549 3.549 9.195
angles: 90.00 90.00 90.00
Sites, in units of the cell vectors:
1 Hg 0.500 0.500 0.000
2 Pr 0.000 0.000 0.242
3 Pr 0.000 0.000 0.758
4 Zr 0.500 0.500 0.500



No. 13
The following is a DFT calculation (GGA-PBE) of Ce3Nd2SmSe6 after structural relaxation.

Formation energy (no corrections) (kcal/mol of atoms): -42.28
Uncorrected energy (eV per atom): -6.247

abc: 7.280 7.280 7.309
angles: 99.56 99.56 120.04
Last column: magnetic moment on the atom in μB.
Sites, in units of the cell vectors:
1 Sm 0.000 0.000 0.000  0.00
2 Ce 0.832 0.168 0.500  0.83
3 Ce 0.500 0.500 0.500  0.83
4 Ce 0.168 0.832 0.500  0.83
5 Se 0.414 0.083 0.250  -0.01
6 Se 0.247 0.247 0.749  -0.01
7 Se 0.753 0.753 0.251  -0.01
8 Se 0.917 0.586 0.750  -0.01
9 Se 0.083 0.414 0.250  -0.01
10 Se 0.586 0.917 0.750  -0.01
11 Nd 0.334 0.666 0.000  0.00
12 Nd 0.666 0.334 0.000  0.00